Compound: KNbSi3
Source: the Alexandria database
Functional: GGA-PBE
Structure: relaxed

a b c (Å): 4.8637 4.8637 4.8637
angles (deg): 90.00 90.00 90.00
Space group Pm-3m (No. 221)
Unique sites:
K 0.0000 0.0000 0.0000
Nb 0.5000 0.5000 0.5000
Si 0.0000 0.0000 0.5000

**DOS(E_F)**: 1.244 states/eV per atom
**Total moment**: 0.00 μB per cell
**Formation energy without anion corrections**: 2418 meV per atom
**Electronic total energy**: -3.07 eV/atom
**Polymorph energy (0 for the lowest one)**: 2186 meV/atom